Model A:
{
  "formula": "Zn2CuB2",
  "functional": "PBE",
  "state": "relaxed",
  "dos_ef_per_ev_atom": 0.38,
  "lattice_angstrom": [[6.792, 0.000, 0.000], [0.000, 6.792, 0.000], [0.000, 0.000, 2.443]],
  "species": ["Zn", "Zn", "Zn", "Zn", "Cu", "Cu", "B", "B", "B", "B"],
  "frac_coords": [[0.135, 0.365, 0.000], [0.365, 0.865, 0.000], [0.635, 0.135, 0.000], [0.865, 0.635, 0.000], [0.000, 0.000, 0.000], [0.500, 0.500, 0.000], [0.169, 0.669, 0.500], [0.331, 0.169, 0.500], [0.669, 0.831, 0.500], [0.831, 0.331, 0.500]]
}

Model B:
{
  "formula": "Zn2CuB2",
  "functional": "PBE",
  "state": "relaxed",
  "dos_ef_per_ev_atom": 0.27,
  "lattice_angstrom": [[-1.354, 1.354, 7.428], [1.354, -1.354, 7.428], [1.354, 1.354, -7.428]],
  "species": ["Zn", "Zn", "Cu", "B", "B"],
  "frac_coords": [[0.123, 0.123, 0.000], [0.877, 0.877, 0.000], [0.500, 0.500, 0.000], [0.250, 0.750, 0.500], [0.750, 0.250, 0.500]]
}

Energy above the most stable structure, in meV per atom: model A 452; model B 0